The following is a PBE-GGA calculation of an optimized crystal structure of Tm3BeSi2, from the Alexandria database.

Summary:
The calculation puts the final energy at -5.288 eV/atom. The formation energy (no corrections) comes out at -623 meV/atom.

Cell lengths 11.036, 3.977, 11.248 Å; angles 90.00, 90.00, 90.00 degrees
Space group Pnma (No. 62)
One atom of each set of equivalent atoms:
1 Tm 0.062 0.250 0.122 [4 per cell]
2 Tm 0.123 0.750 0.560 [4 per cell]
3 Tm 0.205 0.250 0.797 [4 per cell]
4 Be 0.134 0.250 0.365 [4 per cell]
5 Si 0.031 0.750 0.319 [4 per cell]
6 Si 0.194 0.750 0.987 [4 per cell]

---

The following is a PBE-GGA calculation of an optimized crystal structure of UBe2Si, from the Alexandria database.

Summary:
The calculation puts the final energy at -5.990 eV/atom. The formation energy (no corrections) comes out at 50 meV/atom.

Cell lengths 3.7484, 3.7484, 14.1780 Å; angles 90.00, 90.00, 120.00 degrees
Space group R-3m (No. 166, hexagonal axes)
One atom of each set of equivalent atoms:
1 U 0.0000 0.0000 0.0000 [3 per cell]
2 Be 0.0000 0.0000 0.2044 [6 per cell]
3 Si 0.0000 0.0000 0.5000 [3 per cell]

---

The following is a PBE-GGA calculation of an optimized crystal structure of U2BeSi2, from the Alexandria database.

Summary:
The calculation puts the final energy at -7.718 eV/atom. The formation energy (no corrections) comes out at -289 meV/atom.

Cell lengths 10.299, 3.849, 10.193 Å; angles 90.00, 120.19, 90.00 degrees
Space group C2/m (No. 12)
One atom of each set of equivalent atoms:
1 U 0.153 0.000 0.438 [4 per cell]
2 U 0.217 0.500 0.144 [4 per cell]
3 Be 0.044 0.500 0.806 [4 per cell]
4 Si 0.023 0.000 0.897 [4 per cell]
5 Si 0.105 0.500 0.627 [4 per cell]

---

The following is a PBE-GGA calculation of an optimized crystal structure of UBeSi2, from the Alexandria database.

Summary:
The calculation puts the final energy at -6.588 eV/atom. The formation energy (no corrections) comes out at -123 meV/atom.

Cell lengths 3.997, 3.997, 3.941 Å; angles 90.00, 90.00, 90.00 degrees
Space group P4/mmm (No. 123)
One atom of each set of equivalent atoms:
1 U 0.000 0.000 0.000 [1 per cell]
2 Be 0.500 0.500 0.000 [1 per cell]
3 Si 0.000 0.500 0.500 [2 per cell]